Entry 1:
VASP calculation (GGA-PBE) on an optimized crystal structure of In2CuSe3I.

Geometry as extended XYZ:
```
7
Lattice="2.088 7.054 -0.031 -2.088 7.054 -0.031 0.000 1.235 7.154" Properties=species:S:1:pos:R:3 pbc="T T T"
In 0.000 9.036 5.815
In 0.000 11.550 0.393
Cu 0.000 4.950 3.945
Se 0.000 0.133 0.222
Se 0.000 3.762 1.840
Se 0.000 11.584 5.142
I 0.000 7.578 3.460
```

Properties
For the density of states at the Fermi level, the calculation gives 0.58 states/eV/f.u. The raw total energy is -24.767 eV for the cell shown. The calculation puts the formation energy without anion corrections at -44.0 kJ/mol of atoms.

Entry 2:
VASP calculation (GGA-PBE) on an optimized crystal structure of InCuTcI2.

Geometry as extended XYZ:
```
5
Lattice="-5.575 -1.151 -2.503 -0.768 -3.473 3.307 -2.573 4.192 3.805" Properties=species:S:1:pos:R:3 pbc="T T T"
I -1.287 2.096 1.902
I -2.788 -0.575 -1.251
Tc -4.458 -0.216 2.304
Cu -0.384 -1.736 1.653
In 0.000 0.000 0.000
```

Properties
For the density of states at the Fermi level, the calculation gives 4.14 states/eV/f.u. The raw total energy is -14.467 eV for the cell shown. The calculation puts the formation energy without anion corrections at 112.6 kJ/mol of atoms.

Entry 3:
VASP calculation (GGA-PBE) on an optimized crystal structure of In2CuTe3I.

Geometry as extended XYZ:
```
7
Lattice="-6.285 -0.017 -0.025 -0.028 -6.281 0.032 3.167 3.097 6.307" Properties=species:S:1:pos:R:3 pbc="T T T"
In -3.013 -0.163 2.963
In -6.203 -6.071 0.089
Cu -3.397 -3.279 0.108
Te -1.637 -4.407 1.631
Te -4.877 -1.780 1.598
Te -1.287 -1.678 4.614
I 1.513 1.497 4.780
```

Properties
The raw total energy is -22.539 eV for the cell shown. The calculation puts the formation energy without anion corrections at -27.4 kJ/mol of atoms.

Entry 4:
VASP calculation (GGA-PBE) on an optimized crystal structure of InCuTe2I.

Geometry as extended XYZ:
```
5
Lattice="-4.152 1.211 -2.915 -0.130 -4.878 -1.841 -3.432 -1.515 4.258" Properties=species:S:1:pos:R:3 pbc="T T T"
I -1.716 -0.758 2.129
Te -0.065 -2.439 -0.920
Te -2.076 0.606 -1.457
Cu 0.000 0.000 0.000
In -3.857 -2.591 -0.249
```

Properties
The value obtained for the energy above the most stable polymorph in this dataset is 0 meV per atom. For the density of states at the Fermi level, the calculation gives 4.55 states/eV/f.u. The raw total energy is -13.978 eV for the cell shown. The calculation puts the formation energy without anion corrections at 13.3 kJ/mol of atoms.

Entry 5:
VASP calculation (GGA-PBE) on an optimized crystal structure of InCuTeI2.

Geometry as extended XYZ:
```
5
Lattice="5.462 0.000 0.000 0.000 5.462 0.000 0.000 0.000 5.240" Properties=species:S:1:pos:R:3 pbc="T T T"
I 0.000 2.731 0.000
I 2.731 0.000 0.000
Te 0.000 0.000 2.620
Cu 0.000 0.000 0.000
In 2.731 2.731 2.620
```

Properties
The value obtained for the energy above the most stable polymorph in this dataset is 0 meV per atom. For the density of states at the Fermi level, the calculation gives 4.14 states/eV/f.u. The raw total energy is -12.935 eV for the cell shown. The calculation puts the formation energy without anion corrections at 2.7 kJ/mol of atoms.

Entry 6:
VASP calculation (GGA-PBE) on an optimized crystal structure of InCuTe2I.

Geometry as extended XYZ:
```
5
Lattice="5.696 0.000 0.000 0.000 5.696 0.000 0.000 0.000 5.939" Properties=species:S:1:pos:R:3 pbc="T T T"
I 0.000 0.000 2.969
Te 0.000 2.848 0.000
Te 2.848 0.000 0.000
Cu 2.848 2.848 2.969
In 0.000 0.000 0.000
```

Properties
The value obtained for the energy above the most stable polymorph in this dataset is 548 meV per atom. For the density of states at the Fermi level, the calculation gives 8.07 states/eV/f.u. The raw total energy is -11.238 eV for the cell shown. The calculation puts the formation energy without anion corrections at 66.2 kJ/mol of atoms.

Entry 7:
VASP calculation (GGA-PBE) on an optimized crystal structure of TlIn2CuI8.

Geometry as extended XYZ:
```
12
Lattice="-5.339 -3.607 4.895 2.233 -7.700 3.450 3.588 -0.989 9.873" Properties=species:S:1:pos:R:3 pbc="T T T"
Tl 0.241 -6.148 9.109
In -0.683 -2.932 3.783
In 1.164 -9.364 14.435
Cu 0.000 0.000 0.000
I -0.893 -8.509 12.821
I -2.049 -6.400 6.425
I 1.374 -3.787 5.397
I 2.530 -5.895 11.793
I -0.706 -10.003 8.801
I 1.187 -2.293 9.417
I 2.140 -8.080 6.192
I -1.659 -4.216 12.026
```

Properties
The raw total energy is -29.018 eV for the cell shown. The calculation puts the formation energy without anion corrections at -37.6 kJ/mol of atoms.

Entry 8:
VASP calculation (GGA-PBE) on an optimized crystal structure of VInCu2I.

Geometry as extended XYZ:
```
5
Lattice="-2.176 0.796 -4.302 2.721 -5.224 -2.343 -3.840 -2.651 1.451" Properties=species:S:1:pos:R:3 pbc="T T T"
I 0.000 0.000 0.000
V -1.647 -3.540 -2.597
Cu -1.920 -1.325 0.726
Cu -1.088 0.398 -2.151
In 1.361 -2.612 -1.172
```

Properties
For the density of states at the Fermi level, the calculation gives 5.90 states/eV/f.u. The raw total energy is -15.005 eV for the cell shown. The calculation puts the formation energy without anion corrections at 127.3 kJ/mol of atoms.

- Among the records above, which one has the highest raw total energy?
  number 6

What did the seventh record say?
VASP calculation (GGA-PBE) on an optimized crystal structure of TlIn2CuI8.

Geometry as extended XYZ:
```
12
Lattice="-5.339 -3.607 4.895 2.233 -7.700 3.450 3.588 -0.989 9.873" Properties=species:S:1:pos:R:3 pbc="T T T"
Tl 0.241 -6.148 9.109
In -0.683 -2.932 3.783
In 1.164 -9.364 14.435
Cu 0.000 0.000 0.000
I -0.893 -8.509 12.821
I -2.049 -6.400 6.425
I 1.374 -3.787 5.397
I 2.530 -5.895 11.793
I -0.706 -10.003 8.801
I 1.187 -2.293 9.417
I 2.140 -8.080 6.192
I -1.659 -4.216 12.026
```

Properties
The raw total energy is -29.018 eV for the cell shown. The calculation puts the formation energy without anion corrections at -37.6 kJ/mol of atoms.